Record 1
LaP2W: PBEsol geometry, meta-GGA SCAN.

Values from the calculation:
Energy above the lowest structure with this stoichiometry: 1078 meV/atom
Energy of formation from the pure elements: 367 meV per atom
M_tot: 0.00 μB per formula unit
Space-group type: No. 160

```
12
Lattice="3.0805 0.0000 0.0000 -1.5402 2.6678 0.0000 0.0000 0.0000 25.9382" Properties=species:S:1:pos:R:3 pbc="T T T"
La 0.0000 0.0000 0.0000
La 0.0000 1.7785 17.2922
La 1.5402 0.8893 8.6461
P 0.0000 0.0000 6.1794
P 0.0000 0.0000 13.1343
P 0.0000 1.7785 4.4882
P 0.0000 1.7785 23.4715
P 1.5402 0.8893 14.8255
P 1.5402 0.8893 21.7803
W 0.0000 0.0000 20.1113
W 0.0000 1.7785 11.4652
W 1.5402 0.8893 2.8191
```

=====

Record 2
SN: PBEsol geometry, meta-GGA SCAN.

Values from the calculation:
Formation energy without anion corrections: 483 meV/atom
M_tot: 0.00 μB per formula unit
Space-group type: No. 14

```
8
Lattice="4.1917 0.0000 0.0000 0.0000 4.4315 0.0000 -2.6626 0.0000 7.1156" Properties=species:S:1:pos:R:3 pbc="T T T"
S -0.1822 0.9455 2.4784
S -1.5135 1.2702 6.0363
S 3.0426 3.1613 1.0794
S 1.7114 3.4860 4.6372
N -0.2946 2.5269 2.2987
N -1.6258 4.1204 5.8565
N 3.1550 0.3111 1.2591
N 1.8237 1.9046 4.8169
```

=====

Record 3
TaAsI3: PBEsol geometry, meta-GGA SCAN.

Values from the calculation:
Formation energy without anion corrections: 1269 meV/atom
M_tot: 3.79 μB per formula unit
Space-group type: No. 221

```
5
Lattice="5.5079 0.0000 0.0000 0.0000 5.5079 0.0000 0.0000 0.0000 5.5079" Properties=species:S:1:pos:R:3 pbc="T T T"
Ta 0.0000 0.0000 0.0000
As 2.7540 2.7540 2.7540
I 0.0000 2.7540 2.7540
I 2.7540 0.0000 2.7540
I 2.7540 2.7540 0.0000
```

=====

Record 4
Zr2CdAg: PBEsol geometry, meta-GGA SCAN.

Values from the calculation:
Energy of formation from the pure elements: -109 meV per atom
M_tot: 0.00 μB per formula unit
Space-group type: No. 123

```
4
Lattice="4.2412 0.0000 0.0000 0.0000 4.2412 0.0000 0.0000 0.0000 4.3589" Properties=species:S:1:pos:R:3 pbc="T T T"
Zr 0.0000 2.1206 0.0000
Zr 2.1206 0.0000 0.0000
Cd 0.0000 0.0000 2.1795
Ag 2.1206 2.1206 2.1795
```

=====

Record 5
Sc4AsW: PBEsol geometry, meta-GGA SCAN.

Values from the calculation:
Energy of formation from the pure elements: 579 meV per atom
M_tot: 0.00 μB per formula unit
Space-group type: No. 216

```
6
Lattice="0.0000 3.8748 3.8748 3.8748 0.0000 3.8748 3.8748 3.8748 0.0000" Properties=species:S:1:pos:R:3 pbc="T T T"
Sc 2.9233 2.9233 2.9233
Sc 4.8263 4.8263 2.9233
Sc 4.8263 2.9233 4.8263
Sc 2.9233 4.8263 4.8263
As 0.0000 0.0000 0.0000
W 5.8122 5.8122 5.8122
```

=====

Record 6
Ti2TeBr2: PBEsol geometry, meta-GGA SCAN.

Values from the calculation:
Formation energy without anion corrections: -389 meV/atom
M_tot: 2.91 μB per formula unit
Space-group type: No. 139

```
10
Lattice="4.6568 0.0000 0.0000 0.0000 4.6568 0.0000 0.0000 0.0000 10.0885" Properties=species:S:1:pos:R:3 pbc="T T T"
Ti 0.0000 2.3284 2.5221
Ti 0.0000 2.3284 7.5664
Ti 2.3284 0.0000 2.5221
Ti 2.3284 0.0000 7.5664
Te 0.0000 0.0000 0.0000
Te 2.3284 2.3284 5.0443
Br 0.0000 0.0000 3.5385
Br 0.0000 0.0000 6.5500
Br 2.3284 2.3284 1.5058
Br 2.3284 2.3284 8.5828
```

=====

Record 7
LiCa3: PBEsol geometry, meta-GGA SCAN.

Values from the calculation:
Energy above the lowest structure with this stoichiometry: 0 meV/atom
Energy of formation from the pure elements: 20 meV per atom
M_tot: 0.11 μB per formula unit
Space-group type: No. 71

```
8
Lattice="3.9879 0.0000 0.0000 0.0000 6.0567 0.0000 0.0000 0.0000 11.9322" Properties=species:S:1:pos:R:3 pbc="T T T"
Li 0.0000 0.0000 0.0000
Li 1.9939 3.0283 5.9661
Ca 0.0000 0.0000 5.9661
Ca 0.0000 3.0283 3.3072
Ca 0.0000 3.0283 8.6250
Ca 1.9939 0.0000 2.6589
Ca 1.9939 0.0000 9.2733
Ca 1.9939 3.0283 0.0000
```

=====

Record 8
MgTlPb2: PBEsol geometry, meta-GGA SCAN.

Values from the calculation:
Energy of formation from the pure elements: -75 meV per atom
M_tot: 0.00 μB per formula unit
Space-group type: No. 166

```
12
Lattice="3.4415 0.0000 0.0000 -1.7208 2.9805 0.0000 0.0000 0.0000 32.2656" Properties=species:S:1:pos:R:3 pbc="T T T"
Mg 0.0000 0.0000 0.0000
Mg 0.0000 1.9870 21.5104
Mg 1.7208 0.9935 10.7552
Tl 0.0000 0.0000 16.1328
Tl 0.0000 1.9870 5.3776
Tl 1.7208 0.9935 26.8880
Pb 0.0000 0.0000 8.2411
Pb 0.0000 0.0000 24.0245
Pb 0.0000 1.9870 13.2693
Pb 0.0000 1.9870 29.7515
Pb 1.7208 0.9935 2.5141
Pb 1.7208 0.9935 18.9963
```

=====

Record 9
MgReSbI2: PBEsol geometry, meta-GGA SCAN.

Values from the calculation:
Formation energy without anion corrections: 727 meV/atom
M_tot: 1.59 μB per formula unit
Space-group type: No. 123

```
5
Lattice="5.5128 0.0000 0.0000 0.0000 5.5128 0.0000 0.0000 0.0000 5.0737" Properties=species:S:1:pos:R:3 pbc="T T T"
Mg 0.0000 0.0000 0.0000
Re 2.7564 2.7564 2.5368
Sb 2.7564 2.7564 0.0000
I 0.0000 2.7564 2.5368
I 2.7564 0.0000 2.5368
```

=====

Record 10
Rb2TmCuCl6: PBEsol geometry, meta-GGA SCAN.

Values from the calculation:
Formation energy without anion corrections: -2007 meV/atom
M_tot: 0.07 μB per formula unit
Space-group type: No. 225

```
10
Lattice="0.0000 5.0470 5.0470 5.0470 0.0000 5.0470 5.0470 5.0470 0.0000" Properties=species:S:1:pos:R:3 pbc="T T T"
Rb 2.5235 2.5235 2.5235
Rb 7.5704 7.5704 7.5704
Tm 0.0000 0.0000 0.0000
Cu 5.0470 5.0470 5.0470
Cl 5.0470 5.0470 2.5666
Cl 5.0470 2.5666 5.0470
Cl 7.5273 5.0470 5.0470
Cl 2.5666 5.0470 5.0470
Cl 5.0470 7.5273 5.0470
Cl 5.0470 5.0470 7.5273
```

=====

Record 11
DyAg3: PBEsol geometry, meta-GGA SCAN.

Values from the calculation:
Energy of formation from the pure elements: -239 meV per atom
M_tot: 0.00 μB per formula unit
Space-group type: No. 139

```
8
Lattice="4.3391 0.0000 0.0000 0.0000 4.3391 0.0000 0.0000 0.0000 8.1648" Properties=species:S:1:pos:R:3 pbc="T T T"
Dy 0.0000 0.0000 0.0000
Dy 2.1696 2.1696 4.0824
Ag 0.0000 0.0000 4.0824
Ag 0.0000 2.1696 2.0412
Ag 0.0000 2.1696 6.1236
Ag 2.1696 0.0000 2.0412
Ag 2.1696 0.0000 6.1236
Ag 2.1696 2.1696 0.0000
```

=====

Record 12
CsSrZr2H: PBEsol geometry, meta-GGA SCAN.

Values from the calculation:
E_tot: -24.278 eV per atom
M_tot: 0.00 μB per formula unit
Space-group type: No. 123

```
5
Lattice="4.4979 0.0000 0.0000 0.0000 4.4979 0.0000 0.0000 0.0000 5.9600" Properties=species:S:1:pos:R:3 pbc="T T T"
Cs 0.0000 0.0000 0.0000
Sr 2.2489 2.2489 0.0000
Zr 0.0000 2.2489 2.9800
Zr 2.2489 0.0000 2.9800
H 0.0000 0.0000 2.9800
```

=====

Record 13
Li2HgS2: PBEsol geometry, meta-GGA SCAN.

Values from the calculation:
Formation energy without anion corrections: -706 meV/atom
M_tot: 0.00 μB per formula unit
Space-group type: No. 127

```
10
Lattice="7.0599 0.0000 0.0000 0.0000 7.0599 0.0000 0.0000 0.0000 3.5646" Properties=species:S:1:pos:R:3 pbc="T T T"
Li 0.9814 2.5486 0.0000
Li 2.5486 6.0786 0.0000
Li 4.5113 0.9814 0.0000
Li 6.0786 4.5113 0.0000
Hg 0.0000 0.0000 1.7823
Hg 3.5300 3.5300 1.7823
S 1.2533 4.7833 1.7823
S 2.2767 1.2533 1.7823
S 4.7833 5.8066 1.7823
S 5.8066 2.2767 1.7823
```

=====

Record 14
HgPb2: PBEsol geometry, meta-GGA SCAN.

Values from the calculation:
Energy above the lowest structure with this stoichiometry: 23 meV/atom
Energy of formation from the pure elements: 43 meV per atom
M_tot: 0.00 μB per formula unit
Space-group type: No. 8

```
12
Lattice="12.4856 0.0000 0.0000 0.0000 3.4019 0.0000 -1.7829 0.0000 7.7707" Properties=species:S:1:pos:R:3 pbc="T T T"
Hg 0.0000 0.0000 0.0000
Hg 1.6375 1.7010 2.6740
Hg 6.2428 1.7010 0.0000
Hg 7.8803 0.0000 2.6740
Pb -0.3199 0.0000 4.7476
Pb 0.9846 1.7010 7.4982
Pb 3.0049 0.0000 5.2496
Pb 4.5477 0.0000 2.1316
Pb 5.9229 1.7010 4.7476
Pb 7.2274 0.0000 7.4982
Pb 9.2477 1.7010 5.2496
Pb 10.7905 1.7010 2.1316
```

=====

no.,DOS at the Fermi energy (states/eV per cell)
1,8.73
2,1.13
3,7.97
4,3.37
5,4.76
6,9.30
7,7.11
8,4.41
9,3.06
10,0.00
11,3.72
12,5.92
13,1.32
14,5.59